# Dy3GeO6 (PBE, relaxed)
# Density: 7.98 g cm⁻³
# E: -312.3 eV/cell
data_Dy3GeO6
_space_group_name_H-M_alt 'C m c 21'
_space_group_IT_number 36
_space_group_name_Hall 'C 2c -2'
_cell_length_a 8.912
_cell_length_b 11.120
_cell_length_c 5.513
_cell_angle_alpha 90.00
_cell_angle_beta 90.00
_cell_angle_gamma 90.00
loop_
_atom_site_label
_atom_site_type_symbol
_atom_site_fract_x
_atom_site_fract_y
_atom_site_fract_z
Dy1 Dy 0.000 0.100 0.000
Dy2 Dy 0.194 0.395 0.947
Ge1 Ge 0.000 0.326 0.431
O1 O 0.000 0.273 0.773
O2 O 0.000 0.475 0.203
O3 O 0.152 0.244 0.263
O4 O 0.161 0.015 0.724

# Dy2Ge2O7 (PBE, relaxed)
# Energy above the most stable polymorph in this dataset: 0.15 eV/f.u.
# Density: 6.15 g cm⁻³
data_Dy2Ge2O7
_space_group_name_H-M_alt 'P 1 21/c 1'
_space_group_IT_number 14
_space_group_name_Hall '-P 2ybc'
_cell_length_a 4.992
_cell_length_b 11.123
_cell_length_c 5.696
_cell_angle_alpha 90.00
_cell_angle_beta 95.73
_cell_angle_gamma 90.00
loop_
_atom_site_label
_atom_site_type_symbol
_atom_site_fract_x
_atom_site_fract_y
_atom_site_fract_z
Dy1 Dy 0.107 0.149 0.401
Ge1 Ge 0.361 0.618 0.653
O1 O 0.120 0.692 0.454
O2 O 0.195 0.549 0.880
O3 O 0.369 0.209 0.728
O4 O 0.500 0.000 0.000

# Dy3Ge5O12 (PBE, relaxed)
# Density: 6.58 g cm⁻³
# E: -1110.3 eV/cell
data_Dy3Ge5O12
_space_group_name_H-M_alt 'I a -3 d'
_space_group_IT_number 230
_space_group_name_Hall '-I 4bd 2c 3'
_cell_length_a 12.818
_cell_length_b 12.818
_cell_length_c 12.818
_cell_angle_alpha 90.00
_cell_angle_beta 90.00
_cell_angle_gamma 90.00
loop_
_atom_site_label
_atom_site_type_symbol
_atom_site_fract_x
_atom_site_fract_y
_atom_site_fract_z
Dy1 Dy 0.000 0.250 0.125
Ge1 Ge 0.000 0.000 0.000
Ge2 Ge 0.000 0.250 0.375
O1 O 0.032 0.063 0.665